(1)
Below is an optimized crystal structure of Pu12Rh7Pb, with properties calculated at the PBE level.

Cell: 7.1582 7.1582 7.1582 Å, 91.30 91.30 91.30°
Fractional positions:
Pu 0.1344 0.6389 0.4599
Pu 0.1628 0.2837 0.7193
Pu 0.2807 0.8372 0.7163
Pu 0.2837 0.7193 0.1628
Pu 0.3611 0.5401 0.8656
Pu 0.4599 0.1344 0.6389
Pu 0.5401 0.8656 0.3611
Pu 0.6389 0.4599 0.1344
Pu 0.7163 0.2807 0.8372
Pu 0.7193 0.1628 0.2837
Pu 0.8372 0.7163 0.2807
Pu 0.8656 0.3611 0.5401
Rh 0.0630 0.3744 0.1355
Rh 0.1355 0.0630 0.3744
Rh 0.3744 0.1355 0.0630
Rh 0.5000 0.5000 0.5000
Rh 0.6256 0.8645 0.9370
Rh 0.8645 0.9370 0.6256
Rh 0.9370 0.6256 0.8645
Pb 0.0000 0.0000 0.0000

Output
Magnetization in Bohr magnetons per cell: 1.06
Space group: R-3 (148)
Crystal system: trigonal
E_form in eV per atom: -0.059

***

(2)
Below is an optimized crystal structure of Pu5Rh4Pb, with properties calculated at the PBE level.

Cell: 3.3047 3.3047 19.1792 Å, 90.00 90.00 90.00°
Fractional positions:
Pu 0.0000 0.0000 0.0000
Pu 0.0000 0.0000 0.1856
Pu 0.0000 0.0000 0.3696
Pu 0.0000 0.0000 0.6304
Pu 0.0000 0.0000 0.8144
Rh 0.5000 0.5000 0.1034
Rh 0.5000 0.5000 0.2680
Rh 0.5000 0.5000 0.7320
Rh 0.5000 0.5000 0.8966
Pb 0.5000 0.5000 0.5000

Output
Magnetization in Bohr magnetons per cell: 16.01
Space group: P4/mmm (123)
Crystal system: tetragonal
E_form in eV per atom: -0.051

***

(3)
Below is an optimized crystal structure of PuRhPb, with properties calculated at the PBE level.

Cell: 13.6439 3.7830 7.9728 Å, 90.00 90.00 90.00°
Fractional positions:
Pu 0.0456 0.0000 0.2101
Pu 0.2500 0.0000 0.8459
Pu 0.4544 0.0000 0.2101
Pu 0.5456 0.0000 0.7899
Pu 0.7500 0.0000 0.1541
Pu 0.9544 0.0000 0.7899
Rh 0.1005 0.5000 0.9311
Rh 0.2500 0.0000 0.4479
Rh 0.3995 0.5000 0.9311
Rh 0.6005 0.5000 0.0689
Rh 0.7500 0.0000 0.5521
Rh 0.8995 0.5000 0.0689
Pb 0.1144 0.5000 0.5679
Pb 0.2500 0.5000 0.1880
Pb 0.3856 0.5000 0.5679
Pb 0.6144 0.5000 0.4321
Pb 0.7500 0.5000 0.8119
Pb 0.8856 0.5000 0.4321

Output
Magnetization in Bohr magnetons per cell: 31.64
Space group: Pmma (51)
Crystal system: orthorhombic
E_form in eV per atom: -0.361

***

(4)
Below is an optimized crystal structure of PuRhPb, with properties calculated at the PBE level.

Cell: 4.8425 4.8425 3.2935 Å, 90.00 90.00 120.00°
Fractional positions:
Pu 0.0000 0.0000 0.0000
Rh 0.6667 0.3333 0.5000
Pb 0.3333 0.6667 0.5000

Output
Magnetization in Bohr magnetons per cell: 4.98
Space group: P-6m2 (187)
Crystal system: hexagonal
E_form in eV per atom: -0.172

***

(5)
Below is an optimized crystal structure of PuRhPb, with properties calculated at the PBE level.

Cell: 6.4264 6.4264 6.4264 Å, 149.72 149.72 43.36°
Fractional positions:
Pu 0.0000 0.0000 0.0000
Rh 0.3528 0.3528 0.0000
Pb 0.7089 0.7089 0.0000

Output
Magnetization in Bohr magnetons per cell: 5.31
Space group: I4mm (107)
Crystal system: tetragonal
E_form in eV per atom: -0.199

***

(6)
Below is an optimized crystal structure of TbPuRhPb, with properties calculated at the PBE level.

Cell: 5.1781 5.1781 5.1781 Å, 60.00 60.00 60.00°
Fractional positions:
Tb 0.0000 0.0000 0.0000
Pu 0.5000 0.5000 0.5000
Rh 0.7500 0.7500 0.7500
Pb 0.2500 0.2500 0.2500

Output
Magnetization in Bohr magnetons per cell: 5.10
Space group: F-43m (216)
Crystal system: cubic
E_form in eV per atom: -0.260

***

(7)
Below is an optimized crystal structure of TmPuRhPb, with properties calculated at the PBE level.

Cell: 5.1365 5.1365 5.1365 Å, 60.00 60.00 60.00°
Fractional positions:
Tm 0.0000 0.0000 0.0000
Pu 0.5000 0.5000 0.5000
Rh 0.2500 0.2500 0.2500
Pb 0.7500 0.7500 0.7500

Output
Magnetization in Bohr magnetons per cell: 5.11
Space group: F-43m (216)
Crystal system: cubic
E_form in eV per atom: -0.271

***

(8)
Below is an optimized crystal structure of Pu4Ru2Pb, with properties calculated at the PBE level.

Cell: 7.5379 7.5379 7.5379 Å, 109.70 109.70 109.02°
Fractional positions:
Pu 0.0056 0.4214 0.2628
Pu 0.1587 0.7428 0.7372
Pu 0.1714 0.2556 0.7628
Pu 0.2572 0.9944 0.4158
Pu 0.4928 0.4087 0.2372
Pu 0.5786 0.8413 0.5842
Pu 0.5913 0.8286 0.0842
Pu 0.7444 0.5072 0.9158
Ru 0.2139 0.6250 0.0889
Ru 0.3750 0.4639 0.5889
Ru 0.5361 0.1250 0.9111
Ru 0.8750 0.7861 0.4111
Pb 0.0000 0.0000 0.0000
Pb 0.7500 0.2500 0.5000

Output
Magnetization in Bohr magnetons per cell: 40.61
Space group: I-42d (122)
Crystal system: tetragonal
E_form in eV per atom: 0.011

***

Question: Which value of magnetization does entry 5 give?
Answer: 5.31 Bohr magnetons per cell

***

Question: Look up the magnetization of the seventh one.
Answer: 5.11 Bohr magnetons per cell

***

Question: Which of these has the highest E_form?
Answer: Pu4Ru2Pb

***

Question: What is the magnetization in the third record?
Answer: 31.64 Bohr magnetons per cell